(1)
KRbBa2As | GGA-PBE | relaxed

V	60.51	A^3/atom
electronic total energy	-12.42	eV/cell
DOS(E_F)	0.754	states/eV per atom
E_form	-1.9	eV/f.u.

Cell and atoms, written as POSCAR:
```
KRbBa2As
1.0
-6.086 -1.760 1.493
0.141 -4.487 -4.714
2.527 -4.798 4.644
As Ba K Rb
1 2 1 1
Direct
0.000 0.000 0.000 As
0.000 0.500 0.000 Ba
0.500 0.000 0.000 Ba
0.500 0.500 0.500 K
0.000 0.000 0.500 Rb
```


(2)
Dy3PtRh | GGA-PBE | relaxed

V	24.46	A^3/atom
electronic total energy	-62.73	eV/cell
DOS(E_F)	0.775	states/eV per atom
E_form	-4.2	eV/f.u.
energy relative to the lowest polymorph listed for this composition	79	meV/atom

Cell and atoms, written as POSCAR:
```
Dy3PtRh
1.0
-4.209 3.711 -0.848
-0.778 -4.096 4.997
3.373 7.901 1.112
Dy Rh Pt
6 2 2
Direct
0.549 0.189 0.837 Dy
0.113 0.217 0.235 Dy
0.887 0.783 0.765 Dy
0.211 0.380 0.658 Dy
0.789 0.620 0.342 Dy
0.451 0.811 0.163 Dy
0.065 0.308 0.976 Rh
0.935 0.692 0.024 Rh
0.678 0.249 0.501 Pt
0.322 0.751 0.499 Pt
```


(3)
Tb5SmBi4 | GGA-PBE | relaxed

V	34.80	A^3/atom
electronic total energy	-48.34	eV/cell
DOS(E_F)	0.650	states/eV per atom
E_form	-4.9	eV/f.u.

Cell and atoms, written as POSCAR:
```
Tb5SmBi4
1.0
-4.119 0.513 1.609
-3.229 -3.076 -7.285
3.432 -7.700 5.081
Bi Tb Sm
4 5 1
Direct
0.671 0.079 0.342 Bi
0.014 0.266 0.029 Bi
0.986 0.734 0.971 Bi
0.329 0.921 0.658 Bi
0.816 0.652 0.632 Tb
0.184 0.348 0.368 Tb
0.840 0.193 0.680 Tb
0.500 0.500 0.000 Tb
0.160 0.807 0.320 Tb
0.500 0.000 0.000 Sm
```


Number 1: density 2.602 g cm⁻³. Number 2: density 10.665 g cm⁻³. Number 3: density 8.497 g cm⁻³.